1.
Density functional theory data (PBE) for crystalline Li4Cd7Sn at its relaxed geometry.

D(E_F) in states/eV/atom: 0.3060
Formation enthalpy at 0 K in eV per atom: -0.046

a = 5.222 Å, b = 7.711 Å, c = 7.696 Å
α = 69.15°, β = 70.17°, γ = 70.21°
Element x y z (fractional)
Cd: 0.270 0.707 0.753
Cd: 0.923 0.436 0.718
Cd: 0.730 0.293 0.247
Sn: 0.000 0.000 0.000
Li: 0.689 0.637 0.985
Cd: 0.500 0.000 0.000
Li: 0.459 0.712 0.371
Cd: 0.196 0.123 0.485
Cd: 0.804 0.877 0.515
Cd: 0.077 0.564 0.282
Li: 0.541 0.288 0.629
Li: 0.311 0.363 0.015

---

2.
Density functional theory data (PBE) for crystalline Rb2TiPdO4 at its relaxed geometry.

Formation energy (no corrections) in meV per atom: -1647

a = 5.429 Å, b = 6.746 Å, c = 10.770 Å
α = 84.18°, β = 75.40°, γ = 66.28°
Element x y z (fractional)
O: 0.168 0.171 0.903
O: 0.821 0.671 0.597
Ti: 0.750 0.500 0.500
Rb: 0.824 0.000 0.352
O: 0.508 0.671 0.403
O: 0.242 0.829 0.097
O: 0.089 0.329 0.403
Pd: 0.500 0.000 0.000
O: 0.929 0.829 0.903
Ti: 0.000 0.000 0.000
Pd: 0.250 0.500 0.500
Rb: 0.176 0.000 0.648
O: 0.661 0.171 0.097
O: 0.582 0.329 0.597
Rb: 0.574 0.500 0.852
Rb: 0.926 0.500 0.148

---

3.
Density functional theory data (PBE) for crystalline CaHoF at its relaxed geometry.

Formation energy (no corrections) in meV per atom: -1698
D(E_F) in states/eV/atom: 0.8784

a = 7.400 Å, b = 7.400 Å, c = 6.745 Å
α = 60.52°, β = 60.52°, γ = 29.11°
Element x y z (fractional)
Ca: 0.756 0.756 0.620
F: 0.193 0.193 0.503
F: 0.559 0.559 0.796
Ho: 0.250 0.250 0.117
Ca: 0.509 0.509 0.188
Ho: 0.993 0.993 0.698

---

4.
Density functional theory data (PBE) for crystalline SrGa4Pd3 at its relaxed geometry.

D(E_F) in states/eV/atom: 0.6405
Formation enthalpy at 0 K in eV per atom: -0.578

a = 4.373 Å, b = 4.373 Å, c = 8.271 Å
α = 90.00°, β = 90.00°, γ = 90.00°
Element x y z (fractional)
Sr: 0.000 0.000 0.500
Ga: 0.000 0.500 0.174
Ga: 0.000 0.500 0.826
Pd: 0.000 0.000 0.000
Ga: 0.500 0.000 0.174
Pd: 0.500 0.500 0.667
Ga: 0.500 0.000 0.826
Pd: 0.500 0.500 0.333

---

5.
Density functional theory data (PBE) for crystalline HfTc2Sb at its relaxed geometry.

Formation energy (no corrections) in meV per atom: -298
D(E_F) in states/eV/atom: 0.8322

a = 3.351 Å, b = 4.515 Å, c = 4.515 Å
α = 90.00°, β = 90.00°, γ = 90.00°
Element x y z (fractional)
Tc: 0.000 0.500 0.000
Sb: 0.500 0.000 0.000
Hf: 0.500 0.500 0.500
Tc: 0.000 0.000 0.500

---

6.
Density functional theory data (PBE) for crystalline SrSeN2F at its relaxed geometry.

Formation energy (no corrections) in meV per atom: 812
D(E_F) in states/eV/atom: 0.9432

a = 5.170 Å, b = 4.525 Å, c = 5.170 Å
α = 90.00°, β = 90.00°, γ = 90.00°
Element x y z (fractional)
Se: 0.500 0.500 0.500
N: 0.000 0.000 0.500
F: 0.000 0.500 0.000
Sr: 0.000 0.000 0.000
N: 0.500 0.000 0.000

---

7.
Density functional theory data (PBE) for crystalline Hf2GeAu2 at its relaxed geometry.

D(E_F) in states/eV/atom: 0.8934
Formation enthalpy at 0 K in eV per atom: -0.288

a = 7.468 Å, b = 7.468 Å, c = 3.698 Å
α = 90.00°, β = 90.00°, γ = 90.00°
Element x y z (fractional)
Ge: 0.000 0.000 0.000
Hf: 0.834 0.666 0.000
Hf: 0.334 0.834 0.000
Au: 0.134 0.634 0.500
Au: 0.866 0.366 0.500
Hf: 0.166 0.334 0.000
Au: 0.366 0.134 0.500
Ge: 0.500 0.500 0.000
Au: 0.634 0.866 0.500
Hf: 0.666 0.166 0.000

---

8.
Density functional theory data (PBE) for crystalline Ce8Sb3As4 at its relaxed geometry.

Formation energy (no corrections) in meV per atom: -1069
D(E_F) in states/eV/atom: 3.3283

a = 8.627 Å, b = 8.673 Å, c = 8.673 Å
α = 90.03°, β = 119.76°, γ = 119.76°
Element x y z (fractional)
Ce: 0.500 0.756 0.244
Sb: 0.500 0.000 0.500
Ce: 0.516 0.765 0.765
Ce: 0.986 0.237 0.237
Sb: 0.500 0.500 0.500
Ce: 0.014 0.763 0.763
Ce: 0.000 0.243 0.757
Ce: 0.000 0.757 0.243
Sb: 0.500 0.500 0.000
As: 0.000 0.000 0.500
As: 0.500 0.000 0.000
Ce: 0.500 0.244 0.756
Ce: 0.484 0.235 0.235
As: 0.000 0.500 0.000
As: 0.000 0.000 0.000

---

One value per record, in order, for total magnetic moment: 0.00; 1.97; 0.00; 0.00; 0.00; 3.04; 0.00; 8.64 μB/f.u..